MgTi2F8 | PBE-GGA | relaxed

```
MgTi2F8
1.0
6.358 0.000 0.000
-3.179 5.506 0.000
0.000 0.000 4.062
Mg Ti F
1 2 8
direct
0.000 0.000 0.000
0.333 0.667 0.753
0.667 0.333 0.247
0.161 0.323 0.757
0.161 0.839 0.757
0.323 0.161 0.243
0.333 0.667 0.254
0.667 0.333 0.746
0.677 0.839 0.757
0.839 0.161 0.243
0.839 0.677 0.243
```

Calculated values
Offset from the most stable computed form (meV per atom): 40
Final energy (eV per atom): -6.189
Formation energy (no corrections) (meV/atom): -3247



ZrMn2Br | PBE-GGA | relaxed

```
ZrMn2Br
1.0
3.133 0.000 0.000
0.000 3.117 0.000
-1.296 0.000 7.416
Zr Mn Br
1 2 1
direct
0.000 0.000 0.000
0.276 0.000 0.403
0.703 0.500 0.234
0.411 0.500 0.726
```

Calculated values
Offset from the most stable computed form (meV per atom): 25
Final energy (eV per atom): -7.070
Formation energy (no corrections) (meV/atom): 70



Na2Al2Ir | PBE-GGA | relaxed

```
Na2Al2Ir
1.0
6.471 0.000 0.000
0.000 6.471 0.000
0.000 0.000 5.298
Na Al Ir
4 4 2
direct
0.180 0.320 0.000
0.320 0.820 0.000
0.680 0.180 0.000
0.820 0.680 0.000
0.166 0.666 0.500
0.334 0.166 0.500
0.666 0.834 0.500
0.834 0.334 0.500
0.000 0.000 0.500
0.500 0.500 0.500
```

Calculated values
Final energy (eV per atom): -3.838
Formation energy (meV per atom): -42



Sm4TlSiTe2 | PBE-GGA | relaxed

```
Sm4TlSiTe2
1.0
7.547 0.000 0.000
0.000 4.332 0.000
-2.474 0.000 7.400
Sm Tl Si Te
4 1 1 2
direct
0.230 0.000 0.229
0.240 0.500 0.757
0.760 0.500 0.243
0.770 0.000 0.771
0.500 0.000 0.000
0.000 0.500 0.000
0.000 0.000 0.500
0.500 0.500 0.500
```

Calculated values
Final energy (eV per atom): -5.076
Formation energy (no corrections) (meV/atom): -957



BaScSbAs2 | PBE-GGA | relaxed

```
BaScSbAs2
1.0
5.456 0.000 0.000
0.000 5.456 0.000
0.000 0.000 6.097
Ba Sc Sb As
1 1 1 2
direct
0.000 0.000 0.000
0.500 0.500 0.000
0.000 0.000 0.500
0.000 0.500 0.500
0.500 0.000 0.500
```

Calculated values
Final energy (eV per atom): -3.796
Formation energy (no corrections) (meV/atom): 539



Mn2SnPd | PBE-GGA | relaxed

```
Mn2SnPd
1.0
3.963 0.000 0.000
0.000 3.963 0.000
0.000 0.000 4.028
Mn Sn Pd
2 1 1
direct
0.000 0.500 0.000
0.500 0.000 0.000
0.000 0.000 0.500
0.500 0.500 0.500
```

Calculated values
Final energy (eV per atom): -6.960
Formation energy (meV per atom): -76



AlCoCl2 | PBE-GGA | relaxed

```
AlCoCl2
1.0
7.184 -1.645 0.000
7.184 1.645 0.000
-0.947 0.000 3.607
Al Co Cl
1 1 2
direct
0.000 0.000 0.000
0.500 0.500 0.500
0.129 0.129 0.627
0.871 0.871 0.373
```

Calculated values
Offset from the most stable computed form (meV per atom): 207
Final energy (eV per atom): -3.988
Formation energy (no corrections) (meV/atom): -353



Ce2Bi2Pb | PBE-GGA | relaxed

```
Ce2Bi2Pb
1.0
8.778 0.000 0.000
0.000 8.778 0.000
0.000 0.000 8.503
Ce Bi Pb
8 8 4
direct
0.148 0.352 0.000
0.148 0.352 0.500
0.352 0.852 0.000
0.352 0.852 0.500
0.648 0.148 0.000
0.648 0.148 0.500
0.852 0.648 0.000
0.852 0.648 0.500
0.152 0.652 0.250
0.152 0.652 0.750
0.348 0.152 0.250
0.348 0.152 0.750
0.652 0.848 0.250
0.652 0.848 0.750
0.848 0.348 0.250
0.848 0.348 0.750
0.000 0.000 0.250
0.000 0.000 0.750
0.500 0.500 0.250
0.500 0.500 0.750
```

Calculated values
Final energy (eV per atom): -5.184
Formation energy (meV per atom): -516



ZrCu2Pb | PBE-GGA | relaxed

```
ZrCu2Pb
1.0
4.264 -1.693 0.000
4.264 1.693 0.000
-1.401 0.000 5.272
Zr Cu Pb
1 2 1
direct
0.000 0.000 0.000
0.254 0.254 0.770
0.530 0.530 0.597
0.779 0.779 0.352
```

Calculated values
Final energy (eV per atom): -4.994
Formation energy (meV per atom): 118



Tb3ScZn4 | PBE-GGA | relaxed

```
Tb3ScZn4
1.0
2.494 1.440 8.169
-2.494 1.440 8.169
0.000 -2.880 8.169
Tb Sc Zn
3 1 4
direct
0.000 0.000 0.000
0.248 0.248 0.248
0.752 0.752 0.752
0.500 0.500 0.500
0.127 0.127 0.127
0.378 0.378 0.378
0.622 0.622 0.622
0.873 0.873 0.873
```

Calculated values
Final energy (eV per atom): -3.499
Formation energy (meV per atom): -335



Ca2CoTe | PBE-GGA | relaxed

```
Ca2CoTe
1.0
2.142 1.237 7.330
-2.142 1.237 7.330
0.000 -2.474 7.330
Ca Co Te
2 1 1
direct
0.246 0.246 0.246
0.754 0.754 0.754
0.500 0.500 0.500
0.000 0.000 0.000
```

Calculated values
Final energy (eV per atom): -3.859
Formation energy (no corrections) (meV/atom): -297



Ba7Bi2PdO2 | PBE-GGA | relaxed

```
Ba7Bi2PdO2
1.0
3.843 -3.843 0.000
3.843 3.843 0.000
-3.830 0.000 14.531
Ba Bi Pd O
7 2 1 2
direct
0.000 0.000 0.000
0.093 0.593 0.184
0.199 0.199 0.397
0.407 0.907 0.816
0.593 0.093 0.184
0.801 0.801 0.603
0.907 0.407 0.816
0.322 0.322 0.645
0.678 0.678 0.355
0.500 0.500 0.000
0.095 0.095 0.190
0.905 0.905 0.810
```

Calculated values
Final energy (eV per atom): -4.288
Formation energy (no corrections) (meV/atom): -1261